## Li2TaMnN (PBE)

Data for a geometry-optimized Li2TaMnN structure.

a b c (Å): 3.925 3.925 4.170
angles (deg): 90.00 90.00 90.00
Space group P4/mmm (No. 123)
One atom of each set of equivalent atoms:
Li 0.000 0.500 0.000 x2
Ta 0.000 0.000 0.500 x1
Mn 0.500 0.500 0.500 x1
N 0.000 0.000 0.000 x1

## Properties
density: 6.8 g/cm³
formation energy from raw total energies: -0.1042 eV per atom


## LiTaMnN3 (PBE)

Data for a geometry-optimized LiTaMnN3 structure.

a b c (Å): 6.052 3.108 8.459
angles (deg): 90.00 106.30 90.00
Space group P2_1/m (No. 11)
One atom of each set of equivalent atoms:
Li 0.166 0.250 0.120 x2
Ta 0.330 0.750 0.860 x2
Mn 0.028 0.250 0.612 x2
N 0.085 0.250 0.846 x2
N 0.191 0.750 0.595 x2
N 0.429 0.750 0.117 x2

## Properties
density: 6.2 g/cm³
formation energy from raw total energies: -0.6539 eV per atom


## Li2MnTeN (PBE)

Data for a geometry-optimized Li2MnTeN structure.

a b c (Å): 4.290 4.290 3.868
angles (deg): 90.00 90.00 90.00
Space group P4/mmm (No. 123)
One atom of each set of equivalent atoms:
Li 0.000 0.500 0.000 x2
Mn 0.000 0.000 0.500 x1
Te 0.500 0.500 0.500 x1
N 0.000 0.000 0.000 x1

## Properties
density: 4.9 g/cm³
formation energy from raw total energies: -0.4544 eV per atom


What did we get for DOS(E_F)? Answer: 3.90, 2.40, 2.75 states/eV/cell, in the order shown.